# 1
Density functional theory data (PBE) for Tb5Nd2ErSc after structural relaxation.

Output
DOS at the Fermi energy = 13.118 states/eV/f.u.
raw total energy = -84.44 eV/cell
energy relative to the elements = 0.151 eV/atom

Cell: 5.5494 10.4778 10.3738 Å, 90.00 90.00 105.36°
Sites, in units of the cell vectors:
Er (0.4058, 0.8115, 0.4608)
Er (0.5942, 0.1885, 0.9608)
Tb (0.6273, 0.2545, 0.5195)
Tb (0.4840, 0.9679, 0.7428)
Tb (0.7021, 0.4043, 0.2021)
Nd (0.1154, 0.2307, 0.7359)
Sc (0.1949, 0.3898, 0.0146)
Tb (0.2741, 0.5482, 0.3208)
Tb (0.7259, 0.4518, 0.8208)
Tb (0.5160, 0.0321, 0.2428)
Tb (0.2979, 0.5957, 0.7021)
Tb (0.0151, 0.0302, 0.0148)
Nd (0.8846, 0.7693, 0.2359)
Nd (0.1134, 0.2269, 0.3127)
Sc (0.8051, 0.6102, 0.5146)
Tb (0.9849, 0.9698, 0.5148)
Tb (0.3727, 0.7455, 0.0195)
Nd (0.8866, 0.7731, 0.8127)

---

# 2
Density functional theory data (PBE) for YTiV2Ni after structural relaxation.

Output
DOS at the Fermi energy = 7.134 states/eV/f.u.
raw total energy = -28.12 eV/cell
energy relative to the elements = 2.051 eV/atom

Cell: 4.6185 4.7372 4.6185 Å, 90.00 90.00 90.00°
Sites, in units of the cell vectors:
Ni (0.5000, 0.5000, 0.5000)
V (0.5000, 0.0000, 0.0000)
Y (0.0000, 0.0000, 0.0000)
Ti (0.0000, 0.5000, 0.0000)
V (0.0000, 0.0000, 0.5000)

---

# 3
Density functional theory data (PBE) for PaB2Mo after structural relaxation.

Output
DOS at the Fermi energy = 2.961 states/eV/f.u.
raw total energy = -139.79 eV/cell
energy relative to the elements = -0.316 eV/atom

Cell: 3.3728 6.0746 10.7010 Å, 90.00 90.00 90.00°
Sites, in units of the cell vectors:
B (0.2500, 0.7252, 0.3047)
Mo (0.2500, 0.6426, 0.9361)
B (0.7500, 0.2748, 0.6953)
B (0.7500, 0.4740, 0.8237)
B (0.7500, 0.9740, 0.6763)
Mo (0.7500, 0.8574, 0.4361)
Pa (0.2500, 0.1165, 0.8583)
Mo (0.7500, 0.3574, 0.0639)
Pa (0.7500, 0.3835, 0.3583)
B (0.2500, 0.0260, 0.3237)
B (0.2500, 0.5260, 0.1763)
Pa (0.2500, 0.6165, 0.6417)
B (0.2500, 0.2252, 0.1953)
Mo (0.2500, 0.1426, 0.5639)
Pa (0.7500, 0.8835, 0.1417)
B (0.7500, 0.7748, 0.8047)

---

# 4
Density functional theory data (PBE) for Pr5DyHo2Sc after structural relaxation.

Output
DOS at the Fermi energy = 13.152 states/eV/f.u.
raw total energy = -85.74 eV/cell
energy relative to the elements = 0.124 eV/atom

Cell: 5.4048 11.2996 10.3208 Å, 90.00 90.00 103.84°
Sites, in units of the cell vectors:
Pr (0.5000, 0.0001, 0.7583)
Pr (0.2787, 0.5573, 0.6959)
Dy (0.6015, 0.2030, 0.0083)
Ho (0.1153, 0.2306, 0.2547)
Pr (0.6273, 0.2545, 0.5081)
Ho (0.1153, 0.2305, 0.7617)
Pr (0.7213, 0.4427, 0.1959)
Pr (0.9993, 0.9986, 0.0082)
Pr (0.3727, 0.7455, 0.0081)
Pr (0.0007, 0.0014, 0.5082)
Dy (0.3985, 0.7970, 0.5083)
Pr (0.5000, 0.9999, 0.2583)
Pr (0.7212, 0.4424, 0.8205)
Ho (0.8847, 0.7694, 0.7548)
Pr (0.2788, 0.5576, 0.3205)
Sc (0.7879, 0.5759, 0.5082)
Sc (0.2121, 0.4241, 0.0082)
Ho (0.8847, 0.7695, 0.2617)